No. 1
Material: NaScHg2F8
Method: DFT, GGA-PBE
State: relaxed

Cell and atoms, written as POSCAR:
```
NaScHg2F8
1.0
3.921 0.000 0.000
0.000 7.666 0.000
-0.058 0.000 5.518
Na Sc Hg F
1 1 2 8
Direct
0.000 0.000 0.000
0.000 0.500 0.000
0.500 0.242 0.500
0.500 0.758 0.500
0.006 0.286 0.764
0.006 0.714 0.764
0.493 0.500 0.218
0.499 0.000 0.248
0.501 0.000 0.752
0.507 0.500 0.782
0.994 0.286 0.236
0.994 0.714 0.236
```

Computed properties:
- energy relative to the elements, uncorrected (meV/atom) = -2453
- symmetry = No. 10
- DOS(E_F) (states/eV/cell) = 0.00
- raw total energy (eV per atom) = -4.389
- mass density (g cm⁻³) = 6.22

=====

No. 2
Material: ReAu2Se
Method: DFT, GGA-PBE
State: relaxed

Cell and atoms, written as POSCAR:
```
ReAu2Se
1.0
7.594 0.000 0.000
0.000 7.594 0.000
0.000 0.000 5.293
Re Au Se
4 8 4
Direct
0.000 0.000 0.000
0.000 0.500 0.250
0.500 0.000 0.750
0.500 0.500 0.500
0.249 0.250 0.125
0.250 0.749 0.375
0.250 0.751 0.875
0.251 0.250 0.625
0.749 0.750 0.625
0.750 0.249 0.875
0.750 0.251 0.375
0.751 0.750 0.125
0.000 0.000 0.500
0.000 0.500 0.750
0.500 0.000 0.250
0.500 0.500 0.000
```

Computed properties:
- energy relative to the elements, uncorrected (meV/atom) = 793
- symmetry = No. 122
- DOS(E_F) (states/eV/cell) = 10.63
- raw total energy (eV per atom) = -4.829
- mass density (g cm⁻³) = 14.34

=====

No. 3
Material: Ba2ScO3F
Method: DFT, GGA-PBE
State: relaxed

Cell and atoms, written as POSCAR:
```
Ba2ScO3F
1.0
4.185 0.000 0.000
0.000 4.185 0.000
0.000 0.000 13.758
Ba Sc O F
4 2 6 2
Direct
0.000 0.000 0.000
0.000 0.000 0.274
0.500 0.500 0.500
0.500 0.500 0.774
0.000 0.000 0.650
0.500 0.500 0.150
0.000 0.000 0.797
0.000 0.500 0.130
0.000 0.500 0.630
0.500 0.000 0.130
0.500 0.000 0.630
0.500 0.500 0.297
0.000 0.000 0.468
0.500 0.500 0.968
```

Computed properties:
- energy relative to the elements, uncorrected (meV/atom) = -3228
- energy relative to the lowest polymorph listed for this composition (eV/atom) = 0.0000
- symmetry = No. 107
- DOS(E_F) (states/eV/cell) = 0.00
- raw total energy (eV per atom) = -7.074
- mass density (g cm⁻³) = 5.33